Computed, not measured: ZnBiSe2 after structural relaxation at the PBE level of DFT.

Cell: 9.0878 9.0878 9.0878 Å, 23.19 23.19 23.19°
With the nearest neighbours (Å) after each atom.
Fractional coordinates of all 4 atoms:
Zn 0.0000 0.0000 0.0000  6 Se 2.60
Bi 0.5000 0.5000 0.5000  2 Se 2.90
Se 0.3905 0.3905 0.3905  3 Zn 2.60, 1 Bi 2.90
Se 0.6095 0.6095 0.6095  3 Zn 2.60, 1 Bi 2.90

Values from the calculation:
final energy = -3.200 eV/atom
excess energy over the best structure of this formula in the dataset = 0.32 eV per formula unit
crystal system = trigonal

=====

Computed, not measured: ZrBiSe2 after structural relaxation at the PBE level of DFT.

Cell: 9.5748 9.5748 9.5748 Å, 22.13 22.13 22.13°
With the nearest neighbours (Å) after each atom.
Fractional coordinates of all 4 atoms:
Zr 0.0000 0.0000 0.0000  6 Se 2.71
Bi 0.5000 0.5000 0.5000  2 Se 2.98
Se 0.3934 0.3934 0.3934  3 Zr 2.71, 1 Bi 2.98
Se 0.6066 0.6066 0.6066  3 Zr 2.71, 1 Bi 2.98

Values from the calculation:
final energy = -5.746 eV/atom
crystal system = trigonal

=====

Computed, not measured: Zr2BiSe after structural relaxation at the PBE level of DFT.

Cell: 7.3618 7.3618 7.3618 Å, 31.03 31.03 31.03°
With the nearest neighbours (Å) after each atom.
Fractional coordinates of all 4 atoms:
Zr 0.0000 0.0000 0.0000  3 Se 2.70
Zr 0.1961 0.1961 0.1961  3 Se 2.69
Bi 0.7659 0.7659 0.7659  6 Zr 3.05-3.09
Se 0.5977 0.5977 0.5977  6 Zr 2.69-2.70

Values from the calculation:
final energy = -6.826 eV/atom
excess energy over the best structure of this formula in the dataset = 0.18 eV per formula unit
crystal system = trigonal

=====

Computed, not measured: Zr3BiSe after structural relaxation at the PBE level of DFT.

Cell: 4.1600 7.7879 7.7879 Å, 76.02 90.00 90.00°
With the nearest neighbours (Å) after each atom.
Fractional coordinates of all 10 atoms:
Zr 0.0000 0.0000 0.0000  2 Se 2.53
Zr 0.0000 0.3664 0.3664  2 Se 2.54
Zr 0.5000 0.3689 0.7380  2 Se 2.63
Zr 0.5000 0.6279 0.9965  2 Se 2.63
Zr 0.5000 0.7380 0.3689  2 Se 2.63
Zr 0.5000 0.9965 0.6279  2 Se 2.63
Bi 0.0000 0.6827 0.6827  8 Zr 3.16
Bi 0.5000 0.1831 0.1831  8 Zr 3.06-3.42
Se 0.0000 0.1826 0.6832  6 Zr 2.53-2.63
Se 0.0000 0.6832 0.1826  6 Zr 2.53-2.63

Values from the calculation:
final energy = -7.057 eV/atom
excess energy over the best structure of this formula in the dataset = 0.00 eV per formula unit
crystal system = orthorhombic

=====

no.,E_form (uncorrected) (eV/f.u.)
1,-0.7
2,-3.6
3,-2.8
4,-2.3